Below is TcWAu2 at its PBEsol-relaxed geometry, with properties calculated at the SCAN level.

Results
* symmetry: No. 123
* E above lowest polymorph: 377 meV per atom
* E_form: 0.585 eV/atom

abc: 3.4238 3.4238 5.4174
angles: 90.00 90.00 90.00
Closest atoms and distances in Å follow each position.
Fractional positions:
Au 0.0000 0.0000 0.7510  2 Au 2.70-2.72, 4 Tc 2.77, 4 W 2.78
Au 0.0000 0.0000 0.2490  2 Au 2.70-2.72, 4 Tc 2.77, 4 W 2.78
Tc 0.5000 0.5000 0.0000  2 W 2.71, 8 Au 2.77
W 0.5000 0.5000 0.5000  2 Tc 2.71, 8 Au 2.78



Below is Ca2CdO at its PBEsol-relaxed geometry, with properties calculated at the SCAN level.

Results
* energy relative to the elements, uncorrected: -0.563 eV per atom
* symmetry: No. 225

abc: 4.9762 4.9762 4.9762
angles: 60.00 60.00 60.00
Closest atoms and distances in Å follow each position.
Fractional positions:
Ca 0.2500 0.2500 0.2500  4 O 3.05, 4 Cd 3.05
Ca 0.7500 0.7500 0.7500  4 Cd 3.05, 4 O 3.05
O 0.0000 0.0000 0.0000  8 Ca 3.05
Cd 0.5000 0.5000 0.5000  8 Ca 3.05



Below is Pt2W2C at its PBEsol-relaxed geometry, with properties calculated at the SCAN level.

Results
* symmetry: No. 139
* E_form: 1.466 eV/atom

abc: 3.5086 3.5086 7.0420
angles: 104.43 104.43 90.00
Closest atoms and distances in Å follow each position.
Fractional positions:
C 0.0000 0.0000 0.0000  8 Pt 2.79
W 0.2500 0.7500 0.5000  4 W 2.48, 4 Pt 2.68
W 0.7500 0.2500 0.5000  4 W 2.48, 4 Pt 2.68
Pt 0.4035 0.4035 0.8070  1 Pt 2.54, 4 W 2.68, 4 C 2.79
Pt 0.5965 0.5965 0.1930  1 Pt 2.54, 4 W 2.68, 4 C 2.79



Below is TlFeP2 at its PBEsol-relaxed geometry, with properties calculated at the SCAN level.

Results
* symmetry: No. 123
* E above lowest polymorph: 0 meV per atom
* E_form: 0.117 eV/atom

abc: 2.8469 2.8469 8.1922
angles: 90.00 90.00 90.00
Closest atoms and distances in Å follow each position.
Fractional positions:
Fe 0.5000 0.5000 0.5000  8 P 2.39
P 0.0000 0.0000 0.6571  4 Fe 2.39, 1 P 2.57
P 0.0000 0.0000 0.3429  4 Fe 2.39, 1 P 2.57
Tl 0.5000 0.5000 0.0000  4 Tl 2.85



Below is Cd2OsRu at its PBEsol-relaxed geometry, with properties calculated at the SCAN level.

Results
* symmetry: No. 12
* E above lowest polymorph: 72 meV per atom
* E_form: 0.546 eV/atom

abc: 2.8006 4.8960 4.9202
angles: 99.34 106.54 90.00
Closest atoms and distances in Å follow each position.
Fractional positions:
Cd 0.2508 0.2518 0.5016  6 Cd 2.80-2.83, 3 Ru 2.83-2.84, 3 Os 2.83-2.84
Cd 0.7492 0.7482 0.4984  6 Cd 2.80-2.83, 3 Ru 2.83-2.84, 3 Os 2.83-2.84
Os 0.5000 0.0000 0.0000  2 Os 2.80, 4 Ru 2.82, 6 Cd 2.83-2.84
Ru 0.0000 0.5000 0.0000  2 Ru 2.80, 4 Os 2.82, 6 Cd 2.83-2.84



Below is Sc2MoBr at its PBEsol-relaxed geometry, with properties calculated at the SCAN level.

Results
* energy relative to the elements, uncorrected: 0.218 eV per atom
* symmetry: No. 166
* E above lowest polymorph: 623 meV per atom

abc: 3.0989 3.0989 9.6870
angles: 80.80 80.80 60.00
Closest atoms and distances in Å follow each position.
Fractional positions:
Sc 0.9098 0.9098 0.2705  1 Mo 2.58, 3 Br 2.82
Sc 0.0902 0.0902 0.7295  1 Mo 2.58, 3 Br 2.82
Mo 0.0000 0.0000 0.0000  2 Sc 2.58
Br 0.5000 0.5000 0.5000  6 Sc 2.82, 6 Br 3.10



Below is CrFeAs2 at its PBEsol-relaxed geometry, with properties calculated at the SCAN level.

Results
* symmetry: No. 6
* E above lowest polymorph: 330 meV per atom
* E_form: 0.048 eV/atom

abc: 2.9512 4.4454 4.4746
angles: 90.00 90.00 107.39
Closest atoms and distances in Å follow each position.
Fractional positions:
As 0.2638 0.9560 0.0000  3 Cr 2.32-2.44, 2 Fe 2.46
As 0.4876 0.2968 0.5000  3 Fe 2.30-2.47, 2 Cr 2.45
Cr 0.5763 0.5308 0.0000  5 As 2.32-2.45
Fe 0.1723 0.7164 0.5000  5 As 2.30-2.47



Below is LiTl2I at its PBEsol-relaxed geometry, with properties calculated at the SCAN level.

Results
* energy relative to the elements, uncorrected: -0.015 eV per atom
* symmetry: No. 225

abc: 5.6225 5.6225 5.6225
angles: 60.00 60.00 60.00
Closest atoms and distances in Å follow each position.
Fractional positions:
I 0.5000 0.5000 0.5000  8 Tl 3.44
Tl 0.2500 0.2500 0.2500  4 I 3.44, 4 Li 3.44
Tl 0.7500 0.7500 0.7500  4 I 3.44, 4 Li 3.44
Li 0.0000 0.0000 0.0000  8 Tl 3.44



Below is KPbC2 at its PBEsol-relaxed geometry, with properties calculated at the SCAN level.

Results
* symmetry: No. 122
* E_form: 2.086 eV/atom

abc: 5.0053 5.0053 7.8650
angles: 108.55 108.55 90.00
Closest atoms and distances in Å follow each position.
Fractional positions:
Pb 0.2500 0.7500 0.5000  4 C 2.24
Pb 0.0000 0.0000 0.0000  4 C 2.24
K 0.7500 0.2500 0.5000  4 C 2.88
K 0.5000 0.5000 0.0000  4 C 2.88
C 0.2445 0.8750 0.2500  2 Pb 2.24
C 0.0055 0.3750 0.2500  2 Pb 2.24
C 0.1250 0.9945 0.7500  2 Pb 2.24
C 0.6250 0.7555 0.7500  2 Pb 2.24



Below is ScAs2RhBr at its PBEsol-relaxed geometry, with properties calculated at the SCAN level.

Results
* energy relative to the elements, uncorrected: 0.006 eV per atom
* symmetry: No. 123

abc: 4.7028 4.7028 5.0395
angles: 90.00 90.00 90.00
Closest atoms and distances in Å follow each position.
Fractional positions:
Sc 0.5000 0.5000 0.5000  4 Br 3.33, 8 As 3.45
As 0.0000 0.5000 0.0000  2 Rh 2.35
As 0.5000 0.0000 0.0000  2 Rh 2.35
Rh 0.0000 0.0000 0.0000  4 As 2.35, 2 Br 2.52
Br 0.0000 0.0000 0.5000  2 Rh 2.52



Below is CaBrCl2 at its PBEsol-relaxed geometry, with properties calculated at the SCAN level.

Results
* energy relative to the elements, uncorrected: -1.597 eV per atom
* symmetry: No. 122
* E above lowest polymorph: 68 meV per atom

abc: 5.8466 7.0416 7.0416
angles: 80.08 65.47 65.47
Closest atoms and distances in Å follow each position.
Fractional positions:
Ca 0.2500 0.5000 0.5000  4 Cl 2.67, 2 Br 2.92
Ca 0.5000 0.0000 0.0000  4 Cl 2.67, 2 Br 2.92
Br 0.7500 0.5000 0.5000  2 Ca 2.92
Br 0.0000 0.0000 0.0000  2 Ca 2.92
Cl 0.2407 0.8843 0.3843  2 Ca 2.67
Cl 0.5093 0.1157 0.6157  2 Ca 2.67
Cl 0.3750 0.3843 0.1157  2 Ca 2.67
Cl 0.8750 0.6157 0.8843  2 Ca 2.67



Below is NbFeSi at its PBEsol-relaxed geometry, with properties calculated at the SCAN level.

Results
* energy relative to the elements, uncorrected: -0.528 eV per atom
* symmetry: No. 62

abc: 3.7048 6.1678 6.9305
angles: 90.00 90.00 90.00
Closest atoms and distances in Å follow each position.
Fractional positions:
Nb 0.2500 0.4862 0.1878  5 Si 2.64-2.65, 6 Fe 2.71-2.92
Nb 0.7500 0.0138 0.6878  5 Si 2.64-2.65, 6 Fe 2.71-2.92
Nb 0.2500 0.9862 0.3122  5 Si 2.64-2.65, 6 Fe 2.71-2.92
Nb 0.7500 0.5138 0.8122  5 Si 2.64-2.65, 6 Fe 2.71-2.92
Si 0.7500 0.7796 0.1132  4 Fe 2.28-2.37
Si 0.7500 0.2796 0.3868  4 Fe 2.28-2.37
Si 0.2500 0.2204 0.8868  4 Fe 2.28-2.37
Si 0.2500 0.7204 0.6132  4 Fe 2.28-2.37
Fe 0.7500 0.1470 0.0660  4 Si 2.28-2.37
Fe 0.7500 0.6470 0.4340  4 Si 2.28-2.37
Fe 0.2500 0.3530 0.5660  4 Si 2.28-2.37
Fe 0.2500 0.8530 0.9340  4 Si 2.28-2.37



Short version: total energy = -240.7 -58.2 -282.5 -110.8 -165.3 -81.9 -76.7 -183.9 -191.9 -107.8 -102.9 -251.4 eV for the cell shown, in the order given.